Record 1
Computed, not measured: a relaxed RePBr2 crystal at the GGA-PBE level of DFT.

Structure (CIF):
```
data_RePBr2
_chemical_formula_sum 'Re4 P4 Br8'
_cell_length_a 6.563
_cell_length_b 6.563
_cell_length_c 6.563
_cell_angle_alpha 90.00
_cell_angle_beta 90.00
_cell_angle_gamma 90.00
_symmetry_space_group_name_H-M 'F m -3 m'
_symmetry_Int_Tables_number 225
_symmetry_space_group_name_Hall '-F 4 2 3'
loop_
_atom_site_label
_atom_site_fract_x
_atom_site_fract_y
_atom_site_fract_z
_atom_site_occupancy
Re1 0.000 0.000 0.000 1
P1 0.000 0.000 0.500 1
Br1 0.250 0.250 0.250 1
```

Summary:
Calculated density: 8.86 g/cm3
Energy: -61.6 eV per cell
ΔE to the lowest computed polymorph: 1.454 eV per atom
Raw formation energy: 1.453 eV/atom
Fermi-level density of states: 3.06 states/eV/f.u.

=====

Record 2
Computed, not measured: a relaxed Tc3PdS crystal at the GGA-PBE level of DFT.

Structure (CIF):
```
data_Tc3PdS
_chemical_formula_sum 'Tc3 Pd1 S1'
_cell_length_a 4.926
_cell_length_b 4.926
_cell_length_c 4.926
_cell_angle_alpha 90.00
_cell_angle_beta 90.00
_cell_angle_gamma 90.00
_symmetry_space_group_name_H-M 'P m -3 m'
_symmetry_Int_Tables_number 221
_symmetry_space_group_name_Hall '-P 4 2 3'
loop_
_atom_site_label
_atom_site_fract_x
_atom_site_fract_y
_atom_site_fract_z
_atom_site_occupancy
Tc1 0.000 0.000 0.500 1
Pd1 0.000 0.000 0.000 1
S1 0.500 0.500 0.500 1
```

Summary:
Calculated density: 6.01 g/cm3
Energy: -29.2 eV per cell
ΔE to the lowest computed polymorph: 1.727 eV per atom
Raw formation energy: 2.236 eV/atom
Fermi-level density of states: 3.06 states/eV/f.u.

=====

Record 3
Computed, not measured: a relaxed MgCoOs3 crystal at the GGA-PBE level of DFT.

Structure (CIF):
```
data_MgCoOs3
_chemical_formula_sum 'Mg1 Co1 Os3'
_cell_length_a 4.440
_cell_length_b 4.440
_cell_length_c 4.440
_cell_angle_alpha 90.00
_cell_angle_beta 90.00
_cell_angle_gamma 90.00
_symmetry_space_group_name_H-M 'P m -3 m'
_symmetry_Int_Tables_number 221
_symmetry_space_group_name_Hall '-P 4 2 3'
loop_
_atom_site_label
_atom_site_fract_x
_atom_site_fract_y
_atom_site_fract_z
_atom_site_occupancy
Mg1 0.000 0.000 0.000 1
Co1 0.500 0.500 0.500 1
Os1 0.000 0.500 0.500 1
```

Summary:
Calculated density: 12.40 g/cm3
Energy: -34.6 eV per cell
ΔE to the lowest computed polymorph: 0.000 eV per atom
Fermi-level density of states: 7.79 states/eV/f.u.
Energy of formation from the pure elements: 1.565 eV/atom

=====

Record 4
Computed, not measured: a relaxed Pr4Dy3ThS8 crystal at the GGA-PBE level of DFT.

Structure (CIF):
```
data_Pr4Dy3ThS8
_chemical_formula_sum 'Pr12 Dy9 Th3 S24'
_cell_length_a 8.0212
_cell_length_b 8.0212
_cell_length_c 19.8660
_cell_angle_alpha 90.00
_cell_angle_beta 90.00
_cell_angle_gamma 120.00
_symmetry_space_group_name_H-M 'R -3 m'
_symmetry_Int_Tables_number 166
_symmetry_space_group_name_Hall '-R 3 2"'
loop_
_atom_site_label
_atom_site_fract_x
_atom_site_fract_y
_atom_site_fract_z
_atom_site_occupancy
Pr1 0.0000 0.0000 0.0000 1
Pr2 0.0000 0.5000 0.0000 1
Dy1 0.0000 0.5000 0.5000 1
Th1 0.0000 0.0000 0.5000 1
S1 0.0000 0.0000 0.2436 1
S2 0.0057 0.5029 0.7550 1
```

Summary:
Calculated density: 6.93 g/cm3
Energy: -315.3 eV per cell
Raw formation energy: -1.983 eV/atom
Fermi-level density of states: 8.57 states/eV/f.u.